Here is a relaxed DyHoAl2 crystal from the Open Quantum Materials Database. Energies are from PBE.

Lattice parameters (Å, degrees): 5.072 12.041 6.178 90.00 90.00 90.00
Space group Ama2 (No. 40)
One atom of each set of equivalent atoms:
1 Dy 0.250 0.074 0.000 (multiplicity 4)
2 Ho 0.250 0.303 0.744 (multiplicity 4)
3 Al 0.250 0.058 0.504 (multiplicity 4)
4 Al 0.250 0.346 0.241 (multiplicity 4)

Computed properties:
* total magnetization: 0.01 Bohr magnetons per cell
* uncorrected energy: -69.50 eV for the cell shown